[1]
This record from Alexandria describes an optimized crystal structure of Na2MgCoSb. The functional is PBE.

As for the total magnetization: 0.4082 μB/atom. The total DFT energy (no corrections) comes out at -2.171 eV per atom. Its symmetry is P4/mmm. As for the energy relative to the elements, uncorrected: 0.92 eV/atom. As for the density of states at the Fermi level: 2.7 states/eV/cell.

POSCAR file:
```
Na2MgCoSb
1.0
-0.134 1.858 5.474
4.446 -2.384 0.918
2.877 4.770 -1.549
Sb Mg Co Na
1 1 1 2
Cartesian
2.223 -1.192 0.459
0.000 0.000 0.000
3.595 2.122 2.421
1.439 2.385 -0.774
-0.067 0.929 2.737
```


[2]
This record from Alexandria describes an optimized crystal structure of LiPdF6. The functional is PBE.

As for the total magnetization: 0.1297 μB/atom. The total DFT energy (no corrections) comes out at -3.843 eV per atom. Its symmetry is P-31c. As for the energy relative to the elements, uncorrected: -1.55 eV/atom. As for the density of states at the Fermi level: 14.3 states/eV/cell.

POSCAR file:
```
LiPdF6
1.0
5.014 0.000 0.000
-2.507 4.342 0.000
0.000 0.000 9.246
Li Pd F
2 2 12
Cartesian
0.000 2.895 2.311
2.507 1.447 6.934
0.000 0.000 4.623
0.000 0.000 0.000
0.731 1.382 3.511
1.776 2.960 5.735
-1.675 3.018 3.511
-0.945 4.284 1.112
4.182 1.324 5.735
3.451 0.058 8.134
0.945 4.284 3.511
-0.731 1.382 1.112
1.562 0.058 5.735
3.238 2.960 8.134
1.675 3.018 1.112
0.832 1.324 8.134
```


[3]
This record from Alexandria describes an optimized crystal structure of TcTe4Rh. The functional is PBE.

As for the total magnetization: 0.0000 μB/atom. The total DFT energy (no corrections) comes out at -5.359 eV per atom. Its symmetry is P2_1/c. As for the energy relative to the elements, uncorrected: -0.31 eV/atom. As for the density of states at the Fermi level: 5.3 states/eV/cell.

POSCAR file:
```
TcTe4Rh
1.0
6.516 0.000 -0.064
0.000 6.505 0.000
0.030 0.000 6.508
Tc Te Rh
2 8 2
Cartesian
3.273 0.000 3.222
0.015 3.253 3.254
5.706 4.080 0.806
4.098 0.827 5.606
2.413 2.413 2.426
0.875 5.666 4.049
0.840 2.425 5.638
2.448 5.678 0.838
4.133 4.092 4.017
5.671 0.840 2.394
0.000 0.000 0.000
3.258 3.253 -0.032
```


[4]
This record from Alexandria describes an optimized crystal structure of Zr2GeIF. The functional is PBE.

As for the total magnetization: 0.0000 μB/atom. The total DFT energy (no corrections) comes out at -5.311 eV per atom. Its symmetry is P4/mmm. As for the energy relative to the elements, uncorrected: -0.28 eV/atom. As for the density of states at the Fermi level: 4.6 states/eV/cell.

POSCAR file:
```
Zr2GeIF
1.0
-1.314 -4.313 -0.375
2.944 -1.177 3.227
-3.690 0.806 3.660
I Ge Zr F
1 1 2 1
Cartesian
-1.845 0.403 1.830
-1.030 -2.342 3.256
1.472 -0.589 1.614
-0.657 -2.156 -0.188
0.000 0.000 0.000
```